VASP calculation (PBE-GGA) on an optimized crystal structure of LaAuO.

a = 4.070 Å, b = 4.070 Å, c = 7.608 Å
α = 90.00°, β = 90.00°, γ = 90.00°
Fractional positions:
La 0.250 0.250 0.162
La 0.750 0.750 0.838
Au 0.250 0.250 0.585
Au 0.750 0.750 0.415
O 0.250 0.750 0.000
O 0.750 0.250 0.000

Total energy (eV per cell): -39.8


VASP calculation (PBE-GGA) on an optimized crystal structure of CsCdP2S.

a = 7.358 Å, b = 7.358 Å, c = 6.248 Å
α = 90.00°, β = 90.00°, γ = 90.00°
Fractional positions:
Cs 0.000 0.000 0.000
Cd 0.500 0.500 0.500
P 0.000 0.500 0.000
P 0.500 0.000 0.000
S 0.000 0.000 0.500

Total energy (eV per cell): -9.1


VASP calculation (PBE-GGA) on an optimized crystal structure of Cu2GeTe4Pb.

a = 7.519 Å, b = 7.515 Å, c = 6.546 Å
α = 64.22°, β = 64.16°, γ = 51.62°
Fractional positions:
Cu 0.000 0.000 0.500
Cu 0.500 0.500 0.000
Ge 0.250 0.250 0.750
Te 0.179 0.616 0.821
Te 0.320 0.884 0.116
Te 0.616 0.179 0.384
Te 0.884 0.320 0.680
Pb 0.750 0.750 0.250

Total energy (eV per cell): -29.8


VASP calculation (PBE-GGA) on an optimized crystal structure of Ho3Te2O2.

a = 3.666 Å, b = 5.817 Å, c = 7.813 Å
α = 101.09°, β = 90.21°, γ = 108.20°
Fractional positions:
Ho 0.000 0.000 0.000
Ho 0.220 0.441 0.794
Ho 0.780 0.559 0.206
Te 0.116 0.225 0.370
Te 0.884 0.775 0.630
O 0.364 0.726 0.046
O 0.636 0.274 0.954

Total energy (eV per cell): -44.6


Record-wise formation energy without anion corrections values, in kJ per mole of atoms: -216.8, 147.4, -9.0, -202.0